Record 1
VASP calculation (PBE) on a geometry-optimized BiAsPd6 structure.

a = 5.353 Å, b = 5.353 Å, c = 5.353 Å
α = 92.63°, β = 92.63°, γ = 92.63°
Element x y z (fractional)
Pd1 0.183 0.556 0.183
Pd2 0.183 0.183 0.556
Pd3 0.444 0.817 0.817
Pd4 0.817 0.444 0.817
Pd5 0.817 0.817 0.444
As1 0.500 0.500 0.500
Bi1 0.000 0.000 0.000
Pd6 0.556 0.183 0.183

Computed properties:
ΔE_f: -0.024 eV per atom
polymorph energy (0 for the lowest one): 197 meV/atom


Record 2
VASP calculation (PBE) on a geometry-optimized YEr2Cd structure.

a = 3.593 Å, b = 3.593 Å, c = 10.842 Å
α = 80.45°, β = 80.45°, γ = 59.99°
Last column: magnetic moment on the atom in μB.
Element x y z (fractional)
Er1 0.077 0.077 0.768  0.20
Er2 0.256 0.256 0.232  0.08
Y1 0.500 0.500 0.500  0.18
Cd1 0.666 0.666 0.000  0.01

Computed properties:
ΔE_f: -0.067 eV per atom
polymorph energy (0 for the lowest one): 92 meV/atom


What did the second record say?
VASP calculation (PBE) on a geometry-optimized YEr2Cd structure.

a = 3.593 Å, b = 3.593 Å, c = 10.842 Å
α = 80.45°, β = 80.45°, γ = 59.99°
Last column: magnetic moment on the atom in μB.
Element x y z (fractional)
Er1 0.077 0.077 0.768  0.20
Er2 0.256 0.256 0.232  0.08
Y1 0.500 0.500 0.500  0.18
Cd1 0.666 0.666 0.000  0.01

Computed properties:
ΔE_f: -0.067 eV per atom
polymorph energy (0 for the lowest one): 92 meV/atom